A plane-wave DFT calculation with PBE was carried out for a relaxed structure of LaCd2Pt9.

extended XYZ file:
```
12
Lattice="-2.848 2.013 4.153 -2.864 -3.323 3.188 5.025 -1.402 7.666" Properties=species:S:1:pos:R:3 pbc="T T T"
La 0.000 0.000 0.000
Cd -2.690 -1.731 9.617
Cd 2.003 -0.981 5.390
Pt -3.803 -0.874 4.898
Pt 3.116 -1.838 10.110
Pt -0.343 -1.356 7.504
Pt -1.068 -0.899 4.991
Pt -2.511 0.121 7.096
Pt -2.519 -2.583 6.607
Pt 0.381 -1.812 10.016
Pt 1.832 -0.129 8.401
Pt 1.824 -2.833 7.912
```

Output
Calculated density in g/cm³: 15.83
ΔH_f (0 K) in eV per atom: -0.483
Magnetic moment in μB/atom: 0.00